No. 1
GdTmCdCu (PBE, optimized geometry); N(E_F) = 0.87 states/eV/atom; magnetization = 7.15 μB/f.u.; formation energy from the elements = -225 meV/atom
1.0
0.000 3.618 3.618
3.618 0.000 3.618
3.618 3.618 0.000
Gd Tm Cd Cu
1 1 1 1
direct
0.000 0.000 0.000 Gd
0.500 0.500 0.500 Tm
0.250 0.250 0.250 Cd
0.750 0.750 0.750 Cu



No. 2
AlCo2 (PBE, optimized geometry); N(E_F) = 0.86 states/eV/atom; magnetization = 1.91 μB/f.u.; formation energy from the elements = -325 meV/atom
1.0
2.013 -6.087 0.000
2.013 6.087 0.000
0.000 0.000 2.801
Al Co
2 4
direct
0.166 0.834 0.000 Al
0.834 0.166 0.000 Al
0.000 0.000 0.500 Co
0.335 0.665 0.500 Co
0.500 0.500 0.000 Co
0.665 0.335 0.500 Co



No. 3
BaRuPb (PBE, optimized geometry); N(E_F) = 0.01 states/eV/atom; magnetization = 0.00 μB/f.u.; formation energy from the elements = 174 meV/atom
1.0
-1.795 1.795 6.282
1.795 -1.795 6.282
1.795 1.795 -6.282
Ba Ru Pb
1 1 1
direct
0.000 0.000 0.000 Ba
0.679 0.679 0.000 Ru
0.279 0.279 0.000 Pb



No. 4
Ac2Pm7Sm (PBE, optimized geometry); polymorph energy (0 for the lowest one) = 0.00 eV per formula unit; N(E_F) = 1.73 states/eV/atom; magnetization = 0.00 μB/f.u.; formation energy from the elements = 156 meV/atom
1.0
3.415 -14.998 0.000
3.415 14.998 0.000
0.000 0.000 3.611
Ac Pm Sm
2 7 1
direct
0.206 0.794 0.000 Ac
0.794 0.206 0.000 Ac
0.000 0.000 0.000 Pm
0.160 0.352 0.000 Pm
0.317 0.683 0.500 Pm
0.352 0.160 0.000 Pm
0.648 0.840 0.000 Pm
0.683 0.317 0.500 Pm
0.840 0.648 0.000 Pm
0.500 0.500 0.500 Sm



No. 5
Li2AlBiN (PBE, optimized geometry); N(E_F) = 0.25 states/eV/atom; magnetization = 0.00 μB/f.u.; uncorrected formation energy = -0.445 eV per atom
1.0
4.723 0.000 0.000
0.000 4.723 0.000
0.000 0.000 3.561
Li Al Bi N
2 1 1 1
direct
0.000 0.500 0.000 Li
0.500 0.000 0.000 Li
0.000 0.000 0.500 Al
0.500 0.500 0.500 Bi
0.000 0.000 0.000 N



No. 6
K2In3PdF12 (PBE, optimized geometry); N(E_F) = 0.38 states/eV/atom; magnetization = 1.00 μB/f.u.; uncorrected formation energy = -2.326 eV per atom
1.0
4.030 2.327 5.910
-4.030 2.327 5.910
0.000 -4.653 5.910
K In Pd F
2 3 1 12
direct
0.135 0.135 0.135 K
0.865 0.865 0.865 K
0.000 0.500 0.500 In
0.500 0.000 0.500 In
0.500 0.500 0.000 In
0.500 0.500 0.500 Pd
0.111 0.619 0.619 F
0.201 0.201 0.595 F
0.201 0.595 0.201 F
0.381 0.381 0.889 F
0.381 0.889 0.381 F
0.405 0.799 0.799 F
0.595 0.201 0.201 F
0.619 0.111 0.619 F
0.619 0.619 0.111 F
0.799 0.405 0.799 F
0.799 0.799 0.405 F
0.889 0.381 0.381 F



- N(E_F) of number 4 (Ac2Pm7Sm)?
  1.73 states/eV/atom



- Which value of magnetization does entry 3 give?
  0.00 μB/f.u.



- Which value of magnetization does entry 2 give?
  1.91 μB/f.u.